Entry 1:
The following is a PBE calculation of a relaxed BaSe crystal, from Alexandria.

Lattice parameters (Å, degrees): 4.7255 4.7255 4.7255 60.00 60.00 60.00
Last column: nearest neighbours and their distance in Å.
Atoms (fractional coordinates):
Se 0.5000 0.5000 0.5000  6 Ba 3.34
Ba 0.0000 0.0000 0.0000  6 Se 3.34

Output
As for the uncorrected formation energy: -2.05 eV/atom. The total energy is -9.51 eV for the cell shown. The density of states at the Fermi level comes out at 0.00 states/eV/f.u.

---

Entry 2:
The following is a PBE calculation of a relaxed Ba2Se crystal, from Alexandria.

Lattice parameters (Å, degrees): 5.7006 5.7006 3.7597 90.00 90.00 120.00
Last column: nearest neighbours and their distance in Å.
Atoms (fractional coordinates):
Ba 0.6667 0.3333 0.5000  3 Ba 3.29
Ba 0.3333 0.6667 0.5000  3 Ba 3.29
Se 0.0000 0.0000 0.0000  2 Se 3.76, 12 Ba 3.79

Output
As for the uncorrected formation energy: -0.37 eV/atom. The total energy is -8.44 eV for the cell shown. The density of states at the Fermi level comes out at 3.90 states/eV/f.u.

---

Entry 3:
The following is a PBE calculation of a relaxed Ba4Se crystal, from Alexandria.

Lattice parameters (Å, degrees): 6.8365 6.8365 6.8365 109.47 109.47 109.47
Last column: nearest neighbours and their distance in Å.
Atoms (fractional coordinates):
Ba 0.5000 0.5000 0.5000  2 Se 3.42
Ba 0.5000 0.0000 0.0000  2 Se 3.42
Ba 0.0000 0.5000 0.0000  2 Se 3.42
Ba 0.0000 0.0000 0.5000  2 Se 3.42
Se 0.0000 0.0000 0.0000  8 Ba 3.42

Output
For the energy above the lowest structure with this stoichiometry, the calculation gives 134.9 meV per atom. As for the uncorrected formation energy: -0.56 eV/atom. The total energy is -13.99 eV for the cell shown. The density of states at the Fermi level comes out at 4.78 states/eV/f.u.